[1]
{"formula": "Ac2PPt4Au2", "functional": "PBE-GGA", "state": "optimized geometry", "m_tot_mub_per_fu": 0.00, "e_form_kcal_per_mol_atoms": -16.92, "space_group": "I4/mmm, No. 139", "dft_energy_ev_per_cell": -50.9, "vol_a3_per_cell": 193.3, "lattice_angstrom": [[6.382, -0.140, -0.221], [-2.692, 5.788, 0.221], [-2.692, -2.271, 5.329]], "species": ["Ac", "Ac", "P", "Pt", "Pt", "Pt", "Pt", "Au", "Au"], "fractional_positions": [[0.500, 0.750, 0.250], [0.500, 0.250, 0.750], [0.000, 0.000, 0.000], [0.000, 0.756, 0.244], [0.512, 0.756, 0.756], [0.000, 0.244, 0.756], [0.488, 0.244, 0.244], [0.000, 0.680, 0.680], [0.000, 0.320, 0.320]]}

---

[2]
{"formula": "Ac2P3Pt4Au", "functional": "PBE-GGA", "state": "optimized geometry", "m_tot_mub_per_fu": 0.00, "e_form_kcal_per_mol_atoms": -19.67, "space_group": "P-4m2, No. 115", "dft_energy_ev_per_cell": -60.4, "vol_a3_per_cell": 199.1, "lattice_angstrom": [[-0.996, -0.640, 4.233], [-4.051, -1.263, -1.145], [3.242, -9.755, -0.713]], "species": ["Ac", "Ac", "P", "P", "P", "Pt", "Pt", "Pt", "Pt", "Au"], "fractional_positions": [[0.500, 0.000, 0.250], [0.000, 0.500, 0.750], [0.000, 0.000, 0.500], [0.500, 0.000, 0.880], [0.000, 0.500, 0.120], [0.500, 0.500, 0.000], [0.000, 0.000, 0.000], [0.500, 0.000, 0.655], [0.000, 0.500, 0.345], [0.500, 0.500, 0.500]]}

---

[3]
{"formula": "Ac2PPt6Au", "functional": "PBE-GGA", "state": "optimized geometry", "m_tot_mub_per_fu": 0.00, "e_form_kcal_per_mol_atoms": -19.47, "space_group": "C2/m, No. 12", "dft_energy_ev_per_cell": -61.6, "vol_a3_per_cell": 215.1, "lattice_angstrom": [[-4.090, -2.503, -4.379], [-2.762, -3.475, 5.621], [-6.335, 0.149, 3.332]], "species": ["Ac", "Ac", "P", "Pt", "Pt", "Pt", "Pt", "Pt", "Pt", "Au"], "fractional_positions": [[0.737, 0.272, 0.536], [0.263, 0.728, 0.464], [0.500, 0.500, 0.000], [0.271, 0.237, 0.477], [0.884, 0.747, 0.865], [0.271, 0.748, 0.966], [0.729, 0.252, 0.034], [0.116, 0.253, 0.135], [0.729, 0.763, 0.523], [0.000, 0.000, 0.000]]}

---

[4]
{"formula": "Ac3P2Pt6Au", "functional": "PBE-GGA", "state": "optimized geometry", "m_tot_mub_per_fu": 0.00, "e_form_kcal_per_mol_atoms": -21.86, "space_group": "P-3m1, No. 164", "dft_energy_ev_per_cell": -74.0, "vol_a3_per_cell": 286.2, "lattice_angstrom": [[5.684, 0.000, 0.000], [-2.842, 4.922, 0.000], [0.000, 0.000, 10.230]], "species": ["Ac", "Ac", "Ac", "P", "P", "Pt", "Pt", "Pt", "Pt", "Pt", "Pt", "Au"], "fractional_positions": [[0.333, 0.667, 0.597], [0.667, 0.333, 0.403], [0.000, 0.000, 0.000], [0.667, 0.333, 0.884], [0.333, 0.667, 0.116], [0.674, 0.837, 0.275], [0.163, 0.326, 0.275], [0.163, 0.837, 0.275], [0.837, 0.674, 0.725], [0.326, 0.163, 0.725], [0.837, 0.163, 0.725], [0.000, 0.000, 0.500]]}

---

[5]
{"formula": "AcPuPAu", "functional": "PBE-GGA", "state": "optimized geometry", "m_tot_mub_per_fu": 6.73, "e_form_kcal_per_mol_atoms": -15.61, "space_group": "F-43m, No. 216", "dft_energy_ev_per_cell": -29.8, "vol_a3_per_cell": 102.6, "lattice_angstrom": [[5.254, 0.000, 0.000], [2.627, 4.550, 0.000], [2.627, 1.517, 4.290]], "species": ["P", "Ac", "Au", "Pu"], "fractional_positions": [[0.500, 0.500, 0.500], [0.750, 0.750, 0.750], [0.000, 0.000, 0.000], [0.250, 0.250, 0.250]]}

---

[6]
{"formula": "Ac4PAuS2", "functional": "PBE-GGA", "state": "optimized geometry", "m_tot_mub_per_fu": 0.00, "space_group": "P2/m, No. 10", "dft_energy_ev_per_cell": -45.6, "vol_a3_per_cell": 243.8, "lattice_angstrom": [[-0.135, 1.521, -4.107], [-1.560, -7.018, -2.548], [-7.649, -0.980, -0.111]], "species": ["Ac", "Ac", "Ac", "Ac", "P", "Au", "S", "S"], "fractional_positions": [[0.000, 0.755, 0.741], [0.000, 0.245, 0.259], [0.500, 0.751, 0.258], [0.500, 0.249, 0.742], [0.000, 0.500, 0.500], [0.500, 0.500, 0.000], [0.000, 0.000, 0.000], [0.500, 0.000, 0.500]]}

---

[7]
{"formula": "AcP2AuS8", "functional": "PBE-GGA", "state": "optimized geometry", "m_tot_mub_per_fu": 0.00, "space_group": "P-3, No. 147", "dft_energy_ev_per_cell": -57.2, "vol_a3_per_cell": 262.8, "lattice_angstrom": [[5.878, 0.000, 0.000], [-2.939, 5.090, 0.000], [0.000, 0.000, 8.783]], "species": ["Ac", "P", "P", "Au", "S", "S", "S", "S", "S", "S", "S", "S"], "fractional_positions": [[0.000, 0.000, 0.000], [0.667, 0.333, 0.242], [0.333, 0.667, 0.758], [0.000, 0.000, 0.500], [0.333, 0.667, 0.991], [0.326, 0.330, 0.305], [0.670, 0.996, 0.305], [0.667, 0.333, 0.009], [0.330, 0.004, 0.695], [0.674, 0.670, 0.695], [0.996, 0.326, 0.695], [0.004, 0.674, 0.305]]}

---

[8]
{"formula": "Ac8P3AuSe4", "functional": "PBE-GGA", "state": "optimized geometry", "m_tot_mub_per_fu": 0.00, "space_group": "R-3m, No. 166", "dft_energy_ev_per_cell": -92.1, "vol_a3_per_cell": 508.0, "lattice_angstrom": [[-5.665, 6.316, -2.815], [-4.867, -1.038, 7.468], [8.741, 1.778, 0.593]], "species": ["Ac", "Ac", "Ac", "Ac", "Ac", "Ac", "Ac", "Ac", "P", "P", "P", "Au", "Se", "Se", "Se", "Se"], "fractional_positions": [[0.250, 0.740, 0.990], [0.250, 0.740, 0.500], [0.256, 0.268, 0.512], [0.740, 0.740, 0.990], [0.260, 0.260, 0.010], [0.744, 0.732, 0.488], [0.750, 0.260, 0.500], [0.750, 0.260, 0.010], [0.500, 0.500, 0.000], [0.500, 0.500, 0.500], [0.000, 0.500, 0.500], [0.000, 0.500, 0.000], [0.500, 0.000, 0.000], [0.500, 0.000, 0.500], [0.000, 0.000, 0.000], [0.000, 0.000, 0.500]]}

---

[9]
{"formula": "AcP2AuSe8", "functional": "PBE-GGA", "state": "optimized geometry", "m_tot_mub_per_fu": 0.00, "space_group": "P-3m1, No. 164", "dft_energy_ev_per_cell": -49.1, "vol_a3_per_cell": 381.3, "lattice_angstrom": [[6.723, 0.000, 0.000], [-3.361, 5.822, 0.000], [0.000, 0.000, 9.744]], "species": ["Ac", "P", "P", "Au", "Se", "Se", "Se", "Se", "Se", "Se", "Se", "Se"], "fractional_positions": [[0.000, 0.000, 0.500], [0.333, 0.667, 0.694], [0.667, 0.333, 0.306], [0.000, 0.000, 0.000], [0.153, 0.306, 0.776], [0.153, 0.847, 0.776], [0.694, 0.847, 0.776], [0.306, 0.153, 0.224], [0.667, 0.333, 0.530], [0.333, 0.667, 0.470], [0.847, 0.694, 0.224], [0.847, 0.153, 0.224]]}

---

[10]
{"formula": "SrAcPAu", "functional": "PBE-GGA", "state": "optimized geometry", "m_tot_mub_per_fu": 0.00, "e_form_kcal_per_mol_atoms": -19.35, "space_group": "F-43m, No. 216", "dft_energy_ev_per_cell": -17.8, "vol_a3_per_cell": 110.5, "lattice_angstrom": [[5.387, 0.000, 0.000], [2.693, 4.665, 0.000], [2.693, 1.555, 4.398]], "species": ["Sr", "Ac", "Au", "P"], "fractional_positions": [[0.250, 0.250, 0.250], [0.750, 0.750, 0.750], [0.000, 0.000, 0.000], [0.500, 0.500, 0.500]]}

---

[11]
{"formula": "Ac6Te3P2Au", "functional": "PBE-GGA", "state": "optimized geometry", "m_tot_mub_per_fu": 0.00, "space_group": "C2/m, No. 12", "dft_energy_ev_per_cell": -64.9, "vol_a3_per_cell": 417.1, "lattice_angstrom": [[-6.496, -2.881, -3.515], [4.448, -4.706, 4.574], [-3.495, 4.528, 5.751]], "species": ["Ac", "Ac", "Ac", "Ac", "Ac", "Ac", "Te", "Te", "Te", "P", "P", "Au"], "fractional_positions": [[0.926, 0.582, 0.777], [0.730, 0.730, 0.222], [0.074, 0.418, 0.223], [0.582, 0.926, 0.777], [0.270, 0.270, 0.778], [0.418, 0.074, 0.223], [0.166, 0.834, 0.500], [0.834, 0.166, 0.500], [0.500, 0.500, 0.500], [0.334, 0.666, 0.000], [0.666, 0.334, 0.000], [0.000, 0.000, 0.000]]}

---

[12]
{"formula": "AcTlP2Au4", "functional": "PBE-GGA", "state": "optimized geometry", "m_tot_mub_per_fu": 0.00, "e_form_kcal_per_mol_atoms": -6.64, "space_group": "P4/mmm, No. 123", "dft_energy_ev_per_cell": -32.7, "vol_a3_per_cell": 177.8, "lattice_angstrom": [[-2.606, -2.976, -1.480], [2.026, 0.069, -3.706], [6.217, -7.069, 3.268]], "species": ["Ac", "Tl", "P", "P", "Au", "Au", "Au", "Au"], "fractional_positions": [[0.000, 0.000, 0.500], [0.000, 0.000, 0.000], [0.500, 0.500, 0.366], [0.500, 0.500, 0.634], [0.000, 0.500, 0.216], [0.500, 0.000, 0.784], [0.500, 0.000, 0.216], [0.000, 0.500, 0.784]]}

---

[13]
{"formula": "AcTlPAu", "functional": "PBE-GGA", "state": "optimized geometry", "m_tot_mub_per_fu": 0.00, "e_form_kcal_per_mol_atoms": -12.18, "space_group": "F-43m, No. 216", "dft_energy_ev_per_cell": -17.3, "vol_a3_per_cell": 105.5, "lattice_angstrom": [[-2.045, -3.845, -3.028], [3.034, -4.078, -1.517], [-0.829, -4.825, 2.041]], "species": ["P", "Ac", "Au", "Tl"], "fractional_positions": [[0.500, 0.500, 0.500], [0.750, 0.750, 0.750], [0.000, 0.000, 0.000], [0.250, 0.250, 0.250]]}

---

[14]
{"formula": "AcPaAu2", "functional": "PBE-GGA", "state": "optimized geometry", "m_tot_mub_per_fu": 1.36, "e_form_kcal_per_mol_atoms": -9.36, "relative_energy_kj_per_mol_fu": 0, "space_group": "P4/mmm, No. 123", "dft_energy_ev_per_cell": -21.8, "vol_a3_per_cell": 106.0, "lattice_angstrom": [[-1.586, 3.262, 0.634], [-1.832, -0.272, -3.182], [-5.886, -3.580, 3.696]], "species": ["Ac", "Pa", "Au", "Au"], "fractional_positions": [[0.500, 0.500, 0.500], [0.500, 0.500, 0.000], [0.000, 0.000, 0.776], [0.000, 0.000, 0.224]]}

---

[15]
{"formula": "AcPaAu2", "functional": "PBE-GGA", "state": "optimized geometry", "m_tot_mub_per_fu": 0.52, "e_form_kcal_per_mol_atoms": -7.45, "relative_energy_kj_per_mol_fu": 32, "space_group": "R-3m, No. 166", "dft_energy_ev_per_cell": -21.5, "vol_a3_per_cell": 117.6, "lattice_angstrom": [[4.099, 0.000, 0.000], [2.049, 3.550, 0.000], [2.049, 1.183, 8.085]], "species": ["Ac", "Pa", "Au", "Au"], "fractional_positions": [[0.500, 0.500, 0.500], [0.000, 0.000, 0.000], [0.740, 0.740, 0.779], [0.260, 0.260, 0.221]]}

---

[16]
{"formula": "AcPaAu2", "functional": "PBE-GGA", "state": "optimized geometry", "m_tot_mub_per_fu": 1.43, "e_form_kcal_per_mol_atoms": -7.49, "relative_energy_kj_per_mol_fu": 31, "space_group": "Fm-3m, No. 225", "dft_energy_ev_per_cell": -21.5, "vol_a3_per_cell": 106.0, "lattice_angstrom": [[-2.814, -2.755, -3.565], [2.240, -1.475, -4.585], [1.117, -5.117, -0.885]], "species": ["Ac", "Pa", "Au", "Au"], "fractional_positions": [[0.500, 0.500, 0.500], [0.000, 0.000, 0.000], [0.250, 0.250, 0.250], [0.750, 0.750, 0.750]]}

---

[17]
{"formula": "AcPaSbAu", "functional": "PBE-GGA", "state": "optimized geometry", "m_tot_mub_per_fu": 3.18, "space_group": "F-43m, No. 216", "dft_energy_ev_per_cell": -22.4, "vol_a3_per_cell": 115.3, "lattice_angstrom": [[-3.097, -2.292, -3.874], [-0.009, -5.427, -0.635], [-4.412, -2.906, 1.393]], "species": ["Sb", "Ac", "Pa", "Au"], "fractional_positions": [[0.500, 0.500, 0.500], [0.250, 0.250, 0.250], [0.750, 0.750, 0.750], [0.000, 0.000, 0.000]]}

---

[18]
{"formula": "AcPaZnAu", "functional": "PBE-GGA", "state": "optimized geometry", "m_tot_mub_per_fu": 1.97, "e_form_kcal_per_mol_atoms": -1.66, "space_group": "F-43m, No. 216", "dft_energy_ev_per_cell": -18.4, "vol_a3_per_cell": 105.3, "lattice_angstrom": [[5.301, 0.000, 0.000], [2.650, 4.591, 0.000], [2.650, 1.530, 4.328]], "species": ["Ac", "Pa", "Au", "Zn"], "fractional_positions": [[0.250, 0.250, 0.250], [0.750, 0.750, 0.750], [0.500, 0.500, 0.500], [0.000, 0.000, 0.000]]}

---

[19]
{"formula": "Ac3Pb3Au2", "functional": "PBE-GGA", "state": "optimized geometry", "m_tot_mub_per_fu": 0.00, "e_form_kcal_per_mol_atoms": -14.44, "relative_energy_kj_per_mol_fu": 0, "space_group": "P-62m, No. 189", "dft_energy_ev_per_cell": -35.0, "vol_a3_per_cell": 254.2, "lattice_angstrom": [[-1.992, 2.458, 2.637], [-5.695, 1.791, -5.970], [-1.231, -6.553, 5.178]], "species": ["Ac", "Ac", "Ac", "Pb", "Pb", "Pb", "Au", "Au"], "fractional_positions": [[0.500, 0.404, 0.404], [0.500, 0.596, 0.000], [0.500, 0.000, 0.596], [0.000, 0.767, 0.767], [0.000, 0.233, 0.000], [0.000, 0.000, 0.233], [0.000, 0.333, 0.667], [0.000, 0.667, 0.333]]}

---

[20]
{"formula": "Ac5Pb4Au", "functional": "PBE-GGA", "state": "optimized geometry", "m_tot_mub_per_fu": 0.00, "e_form_kcal_per_mol_atoms": -12.37, "space_group": "P4/mmm, No. 123", "dft_energy_ev_per_cell": -44.0, "vol_a3_per_cell": 346.2, "lattice_angstrom": [[-0.220, -3.355, -2.104], [3.275, -1.340, 1.793], [-12.359, -9.087, 15.781]], "species": ["Ac", "Ac", "Ac", "Ac", "Ac", "Pb", "Pb", "Pb", "Pb", "Au"], "fractional_positions": [[0.500, 0.500, 0.087], [0.500, 0.500, 0.293], [0.500, 0.500, 0.500], [0.500, 0.500, 0.707], [0.500, 0.500, 0.913], [0.000, 0.000, 0.189], [0.000, 0.000, 0.396], [0.000, 0.000, 0.604], [0.000, 0.000, 0.811], [0.000, 0.000, 0.000]]}